The following is a DFT calculation (PBE) of Pr2AlB2Rh5 after structural relaxation.

a = 3.2233 Å, b = 9.7377 Å, c = 9.7377 Å
α = 90.00°, β = 90.00°, γ = 90.00°
Atoms (fractional coordinates):
1 Pr 0.0000 0.6775 0.1775
2 Pr 0.0000 0.3225 0.8225
3 Pr 0.0000 0.1775 0.3225
4 Pr 0.0000 0.8225 0.6775
5 Al 0.0000 0.0000 0.0000
6 Al 0.0000 0.5000 0.5000
7 B 0.0000 0.1207 0.6207
8 B 0.0000 0.8793 0.3793
9 B 0.0000 0.6207 0.8793
10 B 0.0000 0.3793 0.1207
11 Rh 0.5000 0.2228 0.0685
12 Rh 0.5000 0.7772 0.9315
13 Rh 0.5000 0.0685 0.7772
14 Rh 0.5000 0.7228 0.4315
15 Rh 0.5000 0.9315 0.2228
16 Rh 0.5000 0.2772 0.5685
17 Rh 0.5000 0.5685 0.7228
18 Rh 0.5000 0.4315 0.2772
19 Rh 0.5000 0.5000 0.0000
20 Rh 0.5000 0.0000 0.5000

**Density**: 9.181 g/cm³
**V**: 15.28 Å³/atom
**Total DFT energy (no corrections)**: -7.02 eV/atom